Density functional theory data (PBE) for a relaxed NaAc2DySe5 crystal.

Results
Volume ... 512 Å³ per cell
Formation energy (no corrections) ... -1795 meV/atom
Energy ... -5.302 eV/atom
Symmetry ... Cmc2_1, No. 36
Size of the total moment ... 0.00 μB/cell

The structure in POSCAR format:
```
NaAc2DySe5
1.0
2.1800 -8.9235 0.0000
2.1800 8.9235 0.0000
0.0000 0.0000 13.1504
Na Ac Dy Se
2 4 2 10
direct
0.0319 0.9681 0.5000
0.9681 0.0319 0.0000
0.3672 0.6328 0.3293
0.3968 0.6032 0.7142
0.6032 0.3968 0.2142
0.6328 0.3672 0.8293
0.2971 0.7029 0.0392
0.7029 0.2971 0.5392
0.0057 0.9943 0.8020
0.1359 0.8641 0.0291
0.1896 0.8104 0.3905
0.2208 0.7792 0.6899
0.4410 0.5590 0.1105
0.5590 0.4410 0.6105
0.7792 0.2208 0.1899
0.8104 0.1896 0.8905
0.8641 0.1359 0.5291
0.9943 0.0057 0.3020
```